DFT (PBE) results for a geometry-optimized K2NaPuO6 structure.

Values from the calculation:
**Theoretical density**: 4.53 Mg/m³
**M_tot**: 1.07 μB/cell
**Electronic total energy**: -65.748 eV for the cell shown
**E_form (uncorrected)**: -1815 meV/atom

Geometry as POSCAR:
```
K2NaPuO6
1.0
6.1137 -0.0004 0.0044
0.0003 6.1201 0.0007
3.0601 3.0603 4.3278
Na K Pu O
1 2 1 6
Direct
0.0000 0.0000 0.0000 Na
0.7496 0.2499 0.5003 K
0.2504 0.7501 0.4997 K
0.5000 0.5000 0.0000 Pu
0.2745 0.7254 0.0001 O
0.7255 0.7255 0.5491 O
0.2745 0.2746 0.0001 O
0.7255 0.7254 0.9999 O
0.7255 0.2746 0.9999 O
0.2745 0.2745 0.4509 O
```